1.
Below is a relaxed Rb7NbAs4 crystal, with properties calculated at the PBEsol level.

Energy relative to the elements in eV/atom: -0.41

abc: 8.5521 9.4271 10.5082
angles: 90.00 90.00 90.00
Fractional coordinates of all 24 atoms:
1 As 0.9245 0.5820 0.0000
2 As 0.9080 0.1961 0.8017
3 As 0.2914 0.3164 0.0000
4 As 0.4080 0.8039 0.3017
5 As 0.4245 0.4180 0.5000
6 As 0.7914 0.6836 0.5000
7 As 0.4080 0.8039 0.6983
8 As 0.9080 0.1961 0.1983
9 Rb 0.3371 0.6603 0.0000
10 Rb 0.2941 0.1663 0.2862
11 Rb 0.1250 0.5321 0.2896
12 Rb 0.7941 0.8337 0.7862
13 Rb 0.2941 0.1663 0.7138
14 Rb 0.1250 0.5321 0.7104
15 Rb 0.6264 0.0333 0.5000
16 Rb 0.8371 0.3397 0.5000
17 Rb 0.6250 0.4679 0.7896
18 Rb 0.6250 0.4679 0.2104
19 Rb 0.1049 0.8978 0.5000
20 Rb 0.7941 0.8337 0.2138
21 Rb 0.6049 0.1022 0.0000
22 Rb 0.1264 0.9667 0.0000
23 Nb 0.0005 0.3250 0.0000
24 Nb 0.5005 0.6750 0.5000

=====

2.
Below is a relaxed Rb3Nb2AsSe11 crystal, with properties calculated at the PBEsol level.

Formation energy (no corrections) in eV per atom: -0.719

abc: 9.8766 10.0060 10.0060
angles: 96.64 96.49 83.51
Fractional coordinates of all 34 atoms:
1 Se 0.3440 0.3537 0.5849
2 Se 0.8986 0.7794 0.5965
3 Se 0.6013 0.9739 0.3576
4 Se 0.2958 0.5936 0.8986
5 Se 0.5711 0.2809 0.5318
6 Se 0.3986 0.4035 0.2206
7 Se 0.9814 0.3093 0.0227
8 Se 0.7958 0.1014 0.4064
9 Se 0.3170 0.9017 0.3185
10 Se 0.8440 0.4151 0.6463
11 Se 0.2504 0.7224 0.5991
12 Se 0.0711 0.4682 0.7191
13 Se 0.6474 0.1277 0.0316
14 Se 0.7504 0.4009 0.2776
15 Se 0.4814 0.9773 0.6907
16 Se 0.8170 0.6815 0.0983
17 Se 0.1392 0.1120 0.5489
18 Se 0.3254 0.1828 0.2384
19 Se 0.1013 0.6424 0.0261
20 Se 0.1474 0.9684 0.8723
21 Se 0.6392 0.4511 0.8880
22 Se 0.8254 0.7616 0.8172
23 As 0.1279 0.8809 0.4571
24 As 0.6279 0.5429 0.1191
25 Nb 0.0883 0.7485 0.7935
26 Nb 0.8986 0.4947 0.9001
27 Nb 0.3986 0.0999 0.5053
28 Nb 0.5883 0.2065 0.2515
29 Rb 0.0764 0.4890 0.3540
30 Rb 0.8163 0.1066 0.7527
31 Rb 0.3163 0.2473 0.8934
32 Rb 0.9796 0.0015 0.1451
33 Rb 0.5764 0.6460 0.5110
34 Rb 0.4796 0.8549 0.9985

=====

3.
Below is a relaxed Rb2NbTcAs crystal, with properties calculated at the PBEsol level.

Energy relative to the elements in eV/atom: 1.64

abc: 4.6331 6.3019 6.3019
angles: 90.00 90.00 90.00
Site moments in Bohr magnetons follow the coordinates.
Fractional coordinates of all 5 atoms:
1 Tc 0.5000 0.0000 0.0000  0.80
2 Rb 0.0000 0.0000 0.5000  0.03
3 Rb 0.0000 0.5000 0.0000  0.03
4 Nb 0.5000 0.5000 0.5000  3.11
5 As 0.0000 0.0000 0.0000  -0.04

=====

What are the total DFT energy (no corrections) values for these records? In order: -43.3 -84.4 -21.1 eV/f.u..